# 1
Cs3Pm3ReS8 | Alexandria via LeMat-Bulk | GGA-PBE | relaxed; uncorrected energy = -83.6 eV per cell; calculated density = 4.53 g/cm³
1.0
4.050 2.339 8.234
-4.050 2.339 8.234
0.000 -4.677 8.234
Cs Pm Re S
3 3 1 8
Direct
0.000 0.500 0.500
0.500 0.000 0.500
0.500 0.500 0.000
0.000 0.000 0.500
0.000 0.500 0.000
0.500 0.000 0.000
0.500 0.500 0.500
0.229 0.229 0.229
0.261 0.705 0.705
0.295 0.295 0.739
0.295 0.739 0.295
0.705 0.261 0.705
0.705 0.705 0.261
0.739 0.295 0.295
0.771 0.771 0.771

# 2
Cs2PmS3 | Alexandria via LeMat-Bulk | GGA-PBE | relaxed; DOS at the Fermi energy = 1.207 states/eV/atom; uncorrected energy = -52.8 eV per cell; calculated density = 4.12 g/cm³
1.0
4.186 0.000 0.000
0.000 6.268 0.000
0.000 0.000 15.577
Cs Pm S
4 2 6
Direct
0.000 0.000 0.184
0.000 0.000 0.816
0.500 0.500 0.316
0.500 0.500 0.684
0.000 0.000 0.500
0.500 0.500 0.000
0.000 0.500 0.120
0.000 0.500 0.500
0.000 0.500 0.880
0.500 0.000 0.000
0.500 0.000 0.380
0.500 0.000 0.620

# 3
Cs2PmS10 | Alexandria via LeMat-Bulk | GGA-PBE | relaxed; DOS at the Fermi energy = 0.815 states/eV/atom; uncorrected energy = -108.8 eV per cell; calculated density = 2.76 g/cm³
1.0
6.659 0.000 0.000
0.000 25.873 0.000
0.000 0.000 5.104
Cs Pm S
4 2 20
Direct
0.029 0.133 0.000
0.471 0.633 0.000
0.529 0.367 0.000
0.971 0.867 0.000
0.000 0.500 0.500
0.500 0.000 0.500
0.030 0.408 0.200
0.030 0.408 0.800
0.095 0.031 0.500
0.165 0.715 0.500
0.237 0.285 0.500
0.263 0.785 0.500
0.335 0.215 0.500
0.405 0.531 0.500
0.470 0.908 0.200
0.470 0.908 0.800
0.530 0.092 0.200
0.530 0.092 0.800
0.595 0.469 0.500
0.665 0.785 0.500
0.737 0.215 0.500
0.763 0.715 0.500
0.835 0.285 0.500
0.905 0.969 0.500
0.970 0.592 0.200
0.970 0.592 0.800

Which value of calculated density does entry 2 give? 4.12 g/cm³

Among the records above, which one has the highest calculated density? Cs3Pm3ReS8